Run w
## ZrTcNi (PBE)

Data for a relaxed ZrTcNi crystal.

- total magnetic moment (μB/f.u.) = 0.80

The structure in CIF format:
```
data_ZrTcNi
_chemical_formula_sum 'Zr4 Tc4 Ni4'
_cell_length_a 6.075
_cell_length_b 6.075
_cell_length_c 6.075
_cell_angle_alpha 90.00
_cell_angle_beta 90.00
_cell_angle_gamma 90.00
_symmetry_space_group_name_H-M 'F -4 3 m'
_symmetry_Int_Tables_number 216
_symmetry_space_group_name_Hall 'F -4 2 3'
loop_
_atom_site_label
_atom_site_fract_x
_atom_site_fract_y
_atom_site_fract_z
Zr1 0.000 0.000 0.000
Tc1 0.250 0.250 0.250
Ni1 0.250 0.250 0.750
```

Run x
## ZrTcNi (PBE)

Data for a relaxed ZrTcNi crystal.

- total magnetic moment (μB/f.u.) = 0.01

The structure in CIF format:
```
data_ZrTcNi
_chemical_formula_sum 'Zr1 Tc1 Ni1'
_cell_length_a 4.4897
_cell_length_b 4.4897
_cell_length_c 2.7036
_cell_angle_alpha 90.00
_cell_angle_beta 90.00
_cell_angle_gamma 120.00
_symmetry_space_group_name_H-M 'P 3 m 1'
_symmetry_Int_Tables_number 156
loop_
_symmetry_equiv_pos_as_xyz
'x,y,z'
'-y,x-y,z'
'-x+y,-x,z'
'-y,-x,z'
'-x+y,y,z'
'x,x-y,z'
loop_
_atom_site_label
_atom_site_fract_x
_atom_site_fract_y
_atom_site_fract_z
Zr1 0.0000 0.0000 0.0000
Tc1 0.3333 0.6667 0.6533
Ni1 0.6667 0.3333 0.3460
```

Verdict on stability: run w comes out at the bottom.

Run w
## ZrTcNi (PBE)

Data for a relaxed ZrTcNi crystal.

- total magnetic moment (μB/f.u.) = 0.00

The structure in CIF format:
```
data_ZrTcNi
_chemical_formula_sum 'Zr4 Tc4 Ni4'
_cell_length_a 4.994
_cell_length_b 5.032
_cell_length_c 7.523
_cell_angle_alpha 90.00
_cell_angle_beta 90.00
_cell_angle_gamma 90.00
_symmetry_space_group_name_H-M 'I m m a'
_symmetry_Int_Tables_number 74
_symmetry_space_group_name_Hall '-I 2b 2'
loop_
_atom_site_label
_atom_site_fract_x
_atom_site_fract_y
_atom_site_fract_z
Zr1 0.000 0.250 0.123
Tc1 0.250 0.250 0.750
Ni1 0.000 0.000 0.500
```

Run x
## ZrTcNi (PBE)

Data for a relaxed ZrTcNi crystal.

- total magnetic moment (μB/f.u.) = 0.00

The structure in CIF format:
```
data_ZrTcNi
_chemical_formula_sum 'Zr2 Tc2 Ni2'
_cell_length_a 3.271
_cell_length_b 3.271
_cell_length_c 8.927
_cell_angle_alpha 90.00
_cell_angle_beta 90.00
_cell_angle_gamma 90.00
_symmetry_space_group_name_H-M 'I 4 m m'
_symmetry_Int_Tables_number 107
_symmetry_space_group_name_Hall 'I 4 -2'
loop_
_atom_site_label
_atom_site_fract_x
_atom_site_fract_y
_atom_site_fract_z
Zr1 0.000 0.000 0.000
Tc1 0.000 0.000 0.684
Ni1 0.000 0.000 0.315
```

Run y
## ZrTcNi (PBE)

Data for a relaxed ZrTcNi crystal.

- total magnetic moment (μB/f.u.) = 0.00

The structure in CIF format:
```
data_ZrTcNi
_chemical_formula_sum 'Zr18 Tc18 Ni18'
_cell_length_a 5.0795
_cell_length_b 5.0795
_cell_length_c 38.2825
_cell_angle_alpha 90.00
_cell_angle_beta 90.00
_cell_angle_gamma 120.00
_symmetry_space_group_name_H-M 'R -3 m'
_symmetry_Int_Tables_number 166
_symmetry_space_group_name_Hall '-R 3 2"'
loop_
_atom_site_label
_atom_site_fract_x
_atom_site_fract_y
_atom_site_fract_z
Zr1 0.0000 0.0000 0.0433
Zr2 0.0000 0.0000 0.1803
Zr3 0.0000 0.0000 0.2617
Tc1 0.0000 0.0000 0.3927
Tc2 0.0000 0.0000 0.5000
Tc3 0.0000 0.5000 0.0000
Ni1 0.0045 0.5023 0.7795
```

Run z
## ZrTcNi (PBE)

Data for a relaxed ZrTcNi crystal.

- total magnetic moment (μB/f.u.) = 0.00

The structure in CIF format:
```
data_ZrTcNi
_chemical_formula_sum 'Zr2 Tc2 Ni2'
_cell_length_a 2.785
_cell_length_b 2.785
_cell_length_c 12.089
_cell_angle_alpha 90.00
_cell_angle_beta 90.00
_cell_angle_gamma 90.00
_symmetry_space_group_name_H-M 'I 4 m m'
_symmetry_Int_Tables_number 107
_symmetry_space_group_name_Hall 'I 4 -2'
loop_
_atom_site_label
_atom_site_fract_x
_atom_site_fract_y
_atom_site_fract_z
Zr1 0.000 0.000 0.000
Tc1 0.000 0.000 0.308
Ni1 0.000 0.000 0.673
```

Verdict on stability: run z comes out at the bottom.

Run w
## ZrTc3Ni (PBE)

Data for a relaxed ZrTc3Ni crystal.

- total magnetic moment (μB/f.u.) = 0.00

The structure in CIF format:
```
data_ZrTc3Ni
_chemical_formula_sum 'Zr1 Tc3 Ni1'
_cell_length_a 4.702
_cell_length_b 4.702
_cell_length_c 4.702
_cell_angle_alpha 90.00
_cell_angle_beta 90.00
_cell_angle_gamma 90.00
_symmetry_space_group_name_H-M 'P m -3 m'
_symmetry_Int_Tables_number 221
_symmetry_space_group_name_Hall '-P 4 2 3'
loop_
_atom_site_label
_atom_site_fract_x
_atom_site_fract_y
_atom_site_fract_z
Zr1 0.000 0.000 0.000
Tc1 0.000 0.000 0.500
Ni1 0.500 0.500 0.500
```

Run x
## ZrTc3Ni (PBE)

Data for a relaxed ZrTc3Ni crystal.

- total magnetic moment (μB/f.u.) = 2.01

The structure in CIF format:
```
data_ZrTc3Ni
_chemical_formula_sum 'Zr1 Tc3 Ni1'
_cell_length_a 4.458
_cell_length_b 4.458
_cell_length_c 4.458
_cell_angle_alpha 90.00
_cell_angle_beta 90.00
_cell_angle_gamma 90.00
_symmetry_space_group_name_H-M 'P m -3 m'
_symmetry_Int_Tables_number 221
_symmetry_space_group_name_Hall '-P 4 2 3'
loop_
_atom_site_label
_atom_site_fract_x
_atom_site_fract_y
_atom_site_fract_z
Zr1 0.000 0.000 0.000
Tc1 0.000 0.500 0.500
Ni1 0.500 0.500 0.500
```

Verdict on stability: run w comes out at the bottom.

Run w
## Zr4TcNi (PBE)

Data for a relaxed Zr4TcNi crystal.

- total magnetic moment (μB/f.u.) = 0.00

The structure in CIF format:
```
data_Zr4TcNi
_chemical_formula_sum 'Zr4 Tc1 Ni1'
_cell_length_a 3.309
_cell_length_b 3.309
_cell_length_c 10.488
_cell_angle_alpha 90.00
_cell_angle_beta 90.00
_cell_angle_gamma 90.00
_symmetry_space_group_name_H-M 'P 4/m m m'
_symmetry_Int_Tables_number 123
_symmetry_space_group_name_Hall '-P 4 2'
loop_
_atom_site_label
_atom_site_fract_x
_atom_site_fract_y
_atom_site_fract_z
Zr1 0.000 0.000 0.149
Zr2 0.500 0.500 0.347
Tc1 0.000 0.000 0.500
Ni1 0.500 0.500 0.000
```

Run x
## Zr4TcNi (PBE)

Data for a relaxed Zr4TcNi crystal.

- total magnetic moment (μB/f.u.) = 0.83

The structure in CIF format:
```
data_Zr4TcNi
_chemical_formula_sum 'Zr16 Tc4 Ni4'
_cell_length_a 7.855
_cell_length_b 7.855
_cell_length_c 7.855
_cell_angle_alpha 90.00
_cell_angle_beta 90.00
_cell_angle_gamma 90.00
_symmetry_space_group_name_H-M 'F -4 3 m'
_symmetry_Int_Tables_number 216
_symmetry_space_group_name_Hall 'F -4 2 3'
loop_
_atom_site_label
_atom_site_fract_x
_atom_site_fract_y
_atom_site_fract_z
Zr1 0.124 0.124 0.376
Tc1 0.250 0.250 0.750
Ni1 0.000 0.000 0.000
```

Verdict on stability: run x comes out at the bottom.

Run w
## ZrTc2Ni2 (PBE)

Data for a relaxed ZrTc2Ni2 crystal.

- total magnetic moment (μB/f.u.) = 0.00

The structure in CIF format:
```
data_ZrTc2Ni2
_chemical_formula_sum 'Zr2 Tc4 Ni4'
_cell_length_a 6.541
_cell_length_b 6.541
_cell_length_c 3.432
_cell_angle_alpha 90.00
_cell_angle_beta 90.00
_cell_angle_gamma 90.00
_symmetry_space_group_name_H-M 'P 4/m b m'
_symmetry_Int_Tables_number 127
_symmetry_space_group_name_Hall '-P 4 2ab'
loop_
_atom_site_label
_atom_site_fract_x
_atom_site_fract_y
_atom_site_fract_z
Zr1 0.000 0.000 0.000
Tc1 0.159 0.341 0.500
Ni1 0.127 0.627 0.000
```

Run x
## ZrTc2Ni2 (PBE)

Data for a relaxed ZrTc2Ni2 crystal.

- total magnetic moment (μB/f.u.) = 0.00

The structure in CIF format:
```
data_ZrTc2Ni2
_chemical_formula_sum 'Zr2 Tc4 Ni4'
_cell_length_a 3.838
_cell_length_b 3.838
_cell_length_c 10.713
_cell_angle_alpha 90.00
_cell_angle_beta 90.00
_cell_angle_gamma 90.00
_symmetry_space_group_name_H-M 'I 4/m m m'
_symmetry_Int_Tables_number 139
_symmetry_space_group_name_Hall '-I 4 2'
loop_
_atom_site_label
_atom_site_fract_x
_atom_site_fract_y
_atom_site_fract_z
Zr1 0.000 0.000 0.000
Tc1 0.000 0.000 0.394
Ni1 0.000 0.500 0.250
```

Run y
## ZrTc2Ni2 (PBE)

Data for a relaxed ZrTc2Ni2 crystal.

- total magnetic moment (μB/f.u.) = 0.00

The structure in CIF format:
```
data_ZrTc2Ni2
_chemical_formula_sum 'Zr2 Tc4 Ni4'
_cell_length_a 7.400
_cell_length_b 7.400
_cell_length_c 2.680
_cell_angle_alpha 90.00
_cell_angle_beta 90.00
_cell_angle_gamma 90.00
_symmetry_space_group_name_H-M 'P 4/m b m'
_symmetry_Int_Tables_number 127
_symmetry_space_group_name_Hall '-P 4 2ab'
loop_
_atom_site_label
_atom_site_fract_x
_atom_site_fract_y
_atom_site_fract_z
Zr1 0.000 0.000 0.000
Tc1 0.120 0.380 0.000
Ni1 0.176 0.676 0.500
```

Verdict on stability: run x comes out at the bottom.

Run w
## Ni5Te (PBE)

Data for a relaxed Ni5Te crystal.

- total magnetic moment (μB/f.u.) = 1.23

The structure in CIF format:
```
data_Ni5Te
_chemical_formula_sum 'Ni5 Te1'
_cell_length_a 3.170
_cell_length_b 3.170
_cell_length_c 7.684
_cell_angle_alpha 90.00
_cell_angle_beta 90.00
_cell_angle_gamma 90.00
_symmetry_space_group_name_H-M 'P 4/m m m'
_symmetry_Int_Tables_number 123
_symmetry_space_group_name_Hall '-P 4 2'
loop_
_atom_site_label
_atom_site_fract_x
_atom_site_fract_y
_atom_site_fract_z
Ni1 0.000 0.000 0.000
Ni2 0.000 0.000 0.318
Ni3 0.500 0.500 0.154
Te1 0.500 0.500 0.500
```

Run x
## Ni5Te (PBE)

Data for a relaxed Ni5Te crystal.

- total magnetic moment (μB/f.u.) = 0.00

The structure in CIF format:
```
data_Ni5Te
_chemical_formula_sum 'Ni20 Te4'
_cell_length_a 6.754
_cell_length_b 6.754
_cell_length_c 6.754
_cell_angle_alpha 90.00
_cell_angle_beta 90.00
_cell_angle_gamma 90.00
_symmetry_space_group_name_H-M 'F -4 3 m'
_symmetry_Int_Tables_number 216
_symmetry_space_group_name_Hall 'F -4 2 3'
loop_
_atom_site_label
_atom_site_fract_x
_atom_site_fract_y
_atom_site_fract_z
Ni1 0.000 0.000 0.000
Ni2 0.126 0.126 0.374
Te1 0.250 0.250 0.750
```

Verdict on stability: run x comes out at the bottom.

Run w
## Ni3Te5 (PBE)

Data for a relaxed Ni3Te5 crystal.

- total magnetic moment (μB/f.u.) = 0.00

The structure in CIF format:
```
data_Ni3Te5
_chemical_formula_sum 'Ni6 Te10'
_cell_length_a 7.4041
_cell_length_b 7.4041
_cell_length_c 7.9944
_cell_angle_alpha 90.00
_cell_angle_beta 90.00
_cell_angle_gamma 120.00
_symmetry_space_group_name_H-M 'P 63/m c m'
_symmetry_Int_Tables_number 193
_symmetry_space_group_name_Hall '-P 6c 2'
loop_
_atom_site_label
_atom_site_fract_x
_atom_site_fract_y
_atom_site_fract_z
Ni1 0.0000 0.3782 0.2500
Te1 0.0000 0.2851 0.7500
Te2 0.3333 0.6667 0.0000
```

Run x
## Ni3Te5 (PBE)

Data for a relaxed Ni3Te5 crystal.

- total magnetic moment (μB/f.u.) = 0.00

The structure in CIF format:
```
data_Ni3Te5
_chemical_formula_sum 'Ni6 Te10'
_cell_length_a 8.097
_cell_length_b 11.885
_cell_length_c 3.803
_cell_angle_alpha 90.00
_cell_angle_beta 90.00
_cell_angle_gamma 90.00
_symmetry_space_group_name_H-M 'C m m m'
_symmetry_Int_Tables_number 65
_symmetry_space_group_name_Hall '-C 2 2'
loop_
_atom_site_label
_atom_site_fract_x
_atom_site_fract_y
_atom_site_fract_z
Ni1 0.000 0.000 0.000
Ni2 0.000 0.167 0.500
Te1 0.000 0.500 0.000
Te2 0.202 0.000 0.500
Te3 0.250 0.250 0.000
```

Verdict on stability: run x comes out at the bottom.

Run w
## Th2NiTe (PBE)

Data for a relaxed Th2NiTe crystal.

- total magnetic moment (μB/f.u.) = 0.00

The structure in CIF format:
```
data_Th2NiTe
_chemical_formula_sum 'Th6 Ni3 Te3'
_cell_length_a 4.1573
_cell_length_b 4.1573
_cell_length_c 22.5476
_cell_angle_alpha 90.00
_cell_angle_beta 90.00
_cell_angle_gamma 120.00
_symmetry_space_group_name_H-M 'R -3 m'
_symmetry_Int_Tables_number 166
_symmetry_space_group_name_Hall '-R 3 2"'
loop_
_atom_site_label
_atom_site_fract_x
_atom_site_fract_y
_atom_site_fract_z
Th1 0.0000 0.0000 0.2341
Ni1 0.0000 0.0000 0.5000
Te1 0.0000 0.0000 0.0000
```

Run x
## Th2NiTe (PBE)

Data for a relaxed Th2NiTe crystal.

- total magnetic moment (μB/f.u.) = 0.00

The structure in CIF format:
```
data_Th2NiTe
_chemical_formula_sum 'Th6 Ni3 Te3'
_cell_length_a 4.1099
_cell_length_b 4.1099
_cell_length_c 23.1381
_cell_angle_alpha 90.00
_cell_angle_beta 90.00
_cell_angle_gamma 120.00
_symmetry_space_group_name_H-M 'R 3 m'
_symmetry_Int_Tables_number 160
_symmetry_space_group_name_Hall 'R 3 -2"'
loop_
_atom_site_label
_atom_site_fract_x
_atom_site_fract_y
_atom_site_fract_z
Th1 0.0000 0.0000 0.0000
Th2 0.0000 0.0000 0.1996
Ni1 0.0000 0.0000 0.6007
Te1 0.0000 0.0000 0.4329
```

Verdict on stability: run x comes out at the bottom.